1.
Mg3In3NiRh2 | PBE-GGA | optimized geometry

Unit cell a=7.6267 b=7.6267 c=3.2174 alpha=90.00 beta=90.00 gamma=120.00
Space group P-62m (No. 189)
Inequivalent atoms, fractional coordinates:
Mg: 0.0000 0.3911 0.0000
In: 0.0000 0.7235 0.5000
Ni: 0.0000 0.0000 0.0000
Rh: 0.3333 0.6667 0.5000

Formation energy from the elements = -317 meV/atom

2.
KTaNi2 | PBE-GGA | optimized geometry

Unit cell a=3.1869 b=3.1869 c=26.5977 alpha=90.00 beta=90.00 gamma=120.00
Space group R-3m (No. 166, hexagonal axes)
Inequivalent atoms, fractional coordinates:
K: 0.0000 0.0000 0.0000
Ta: 0.0000 0.0000 0.5000
Ni: 0.0000 0.0000 0.2300

Energy above the lowest structure with this stoichiometry = 267 meV per atom
Formation energy from the elements = 447 meV/atom

3.
LiTiB | PBE-GGA | optimized geometry

Unit cell a=5.6533 b=3.3890 c=7.0355 alpha=90.00 beta=90.00 gamma=90.00
Space group Pnma (No. 62)
Inequivalent atoms, fractional coordinates:
Li: 0.1277 0.2500 0.0464
Ti: 0.0553 0.2500 0.6708
B: 0.2175 0.2500 0.3614

Energy above the lowest structure with this stoichiometry = 328 meV per atom
Formation energy from the elements = -84 meV/atom

4.
Ca2WCl | PBE-GGA | optimized geometry

Unit cell a=7.8252 b=7.8252 c=7.6081 alpha=90.00 beta=90.00 gamma=90.00
Space group I-42d (No. 122)
Inequivalent atoms, fractional coordinates:
Ca: 0.2141 0.2500 0.1250
W: 0.0000 0.0000 0.5000
Cl: 0.0000 0.0000 0.0000

Energy above the lowest structure with this stoichiometry = 643 meV per atom
Uncorrected formation energy = 0.4873 eV per atom

5.
ThBiPt | PBE-GGA | optimized geometry

Unit cell a=4.5697 b=4.5697 c=4.4658 alpha=90.00 beta=90.00 gamma=120.00
Space group P3m1 (No. 156)
Inequivalent atoms, fractional coordinates:
Th: 0.0000 0.0000 0.0000
Bi: 0.3333 0.6667 0.5283
Pt: 0.6667 0.3333 0.3098

Formation energy from the elements = -807 meV/atom

6.
PmGePb | PBE-GGA | optimized geometry

Unit cell a=4.7805 b=4.7805 c=4.1748 alpha=90.00 beta=90.00 gamma=120.00
Space group P3m1 (No. 156)
Inequivalent atoms, fractional coordinates:
Pm: 0.0000 0.0000 0.0000
Ge: 0.6667 0.3333 0.6516
Pb: 0.3333 0.6667 0.4397

Energy above the lowest structure with this stoichiometry = 239 meV per atom
Formation energy from the elements = -305 meV/atom

7.
CeSi2Tc | PBE-GGA | optimized geometry

Unit cell a=4.1733 b=4.1733 c=14.7263 alpha=90.00 beta=90.00 gamma=120.00
Space group R-3m (No. 166, hexagonal axes)
Inequivalent atoms, fractional coordinates:
Ce: 0.0000 0.0000 0.0000
Si: 0.0000 0.0000 0.2117
Tc: 0.0000 0.0000 0.5000

Energy above the lowest structure with this stoichiometry = 89 meV per atom
Uncorrected formation energy = -0.5806 eV per atom

8.
Rb12S3Br5 | PBE-GGA | optimized geometry

Unit cell a=19.8210 b=19.8210 c=19.8210 alpha=90.00 beta=90.00 gamma=90.00
Space group Ia-3d (No. 230)
Inequivalent atoms, fractional coordinates:
Rb: 0.0164 0.0777 0.6549
S: 0.0000 0.2500 0.1250
Br: 0.0000 0.0000 0.0000
Br: 0.0000 0.2500 0.3750

Uncorrected formation energy = -1.1977 eV per atom

9.
Pm2Mg3Hg2 | PBE-GGA | optimized geometry

Unit cell a=10.6512 b=4.7542 c=7.5793 alpha=90.00 beta=111.19 gamma=90.00
Space group C2/m (No. 12)
Inequivalent atoms, fractional coordinates:
Pm: 0.1374 0.0000 0.2751
Mg: 0.0000 0.5000 0.5000
Mg: 0.1195 0.5000 0.9323
Hg: 0.1591 0.0000 0.7106

Energy above the lowest structure with this stoichiometry = 0 meV per atom
Formation energy from the elements = -318 meV/atom

10.
Mn2ZnAs2 | PBE-GGA | optimized geometry

Unit cell a=7.1101 b=7.1101 c=3.1789 alpha=90.00 beta=90.00 gamma=90.00
Space group P4/mbm (No. 127)
Inequivalent atoms, fractional coordinates:
Mn: 0.1314 0.3686 0.0000
Zn: 0.0000 0.0000 0.5000
As: 0.1587 0.6587 0.5000

Energy above the lowest structure with this stoichiometry = 0 meV per atom
Formation energy from the elements = 59 meV/atom

11.
CaTaTe2 | PBE-GGA | optimized geometry

Unit cell a=3.4626 b=3.4626 c=9.6530 alpha=90.00 beta=90.00 gamma=90.00
Space group P4mm (No. 99)
Inequivalent atoms, fractional coordinates:
Ca: 0.0000 0.0000 0.0000
Ta: 0.5000 0.5000 0.2562
Te: 0.0000 0.0000 0.4004
Te: 0.5000 0.5000 0.7687

Energy above the lowest structure with this stoichiometry = 348 meV per atom
Uncorrected formation energy = -0.1262 eV per atom

12.
SrLi14Ca | PBE-GGA | optimized geometry

Unit cell a=6.8579 b=6.8579 c=8.2466 alpha=90.00 beta=90.00 gamma=90.00
Space group P4/mmm (No. 123)
Inequivalent atoms, fractional coordinates:
Sr: 0.0000 0.0000 0.0000
Li: 0.0000 0.0000 0.5000
Li: 0.0000 0.5000 0.0000
Li: 0.0000 0.5000 0.5000
Li: 0.2557 0.2557 0.2915
Li: 0.5000 0.5000 0.5000
Ca: 0.5000 0.5000 0.0000

Formation energy from the elements = 39 meV/atom